Below is a PBEsol-optimized structure of BeAgSbI2, with properties calculated at the SCAN level.

Output
**Uncorrected formation energy**: 0.63 eV/atom
**ΔE to the lowest computed polymorph**: 0 meV/atom

Cell and atoms, written as CIF:
```
data_BeAgSbI2
_cell_length_a 5.1267
_cell_length_b 5.1267
_cell_length_c 4.6654
_cell_angle_alpha 90.00
_cell_angle_beta 90.00
_cell_angle_gamma 90.00
_space_group_name_H-M_alt 'P 4/m m m'
_space_group_IT_number 123
_space_group_name_Hall '-P 4 2'
loop_
_atom_site_label
_atom_site_fract_x
_atom_site_fract_y
_atom_site_fract_z
Be1 0.0000 0.0000 0.0000
Ag1 0.0000 0.0000 0.5000
Sb1 0.5000 0.5000 0.5000
I1 0.0000 0.5000 0.0000
```